DFT (GGA+U) results for CsZn2CoF8 after structural relaxation.

As for the calculated total energy: -4.123 eV per atom.

The structure belongs to space group P-1 (No. 2); the cell edges are 5.228, 5.233 and 7.547 Å and the angles 71.66°, 71.78° and 71.36°. The inequivalent atoms are Cs at (0.000, 0.000, 0.000), Zn at (0.449, 0.449, 0.234), Co at (0.000, 0.000, 0.500), F at (0.188, 0.733, 0.685), F at (0.231, 0.229, 0.460), F at (0.267, 0.810, 0.316) and F at (0.351, 0.346, 0.027).